# PrNdIrPt | Alexandria via LeMat-Bulk | GGA-PBE | relaxed
# Formation energy from the elements: -868 meV/atom
# Energy relative to the lowest polymorph listed for this composition: 0.0 meV/atom
# Calculated total energy: -6.98 eV per atom
# Crystal system: orthorhombic
data_PrNdIrPt
_chemical_formula_sum 'Pr2 Nd2 Ir2 Pt2'
_space_group_name_H-M_alt 'A m m 2'
_space_group_IT_number 38
_cell_length_a 4.412
_cell_length_b 3.985
_cell_length_c 10.984
_cell_angle_alpha 90.00
_cell_angle_beta 90.00
_cell_angle_gamma 90.00
loop_
_space_group_symop_operation_xyz
'x,y,z'
'-x,-y,z'
'-x,y,z'
'x,-y,z'
'x,y+1/2,z+1/2'
'-x,-y+1/2,z+1/2'
'-x,y+1/2,z+1/2'
'x,-y+1/2,z+1/2'
loop_
_atom_site_label
_atom_site_type_symbol
_atom_site_fract_x
_atom_site_fract_y
_atom_site_fract_z
_atom_site_occupancy
Pr1 Pr 0.000 0.000 0.000 1
Nd1 Nd 0.500 0.000 0.719 1
Ir1 Ir 0.000 0.000 0.271 1
Pt1 Pt 0.500 0.000 0.442 1